# 1
{
  "formula": "CsAlRe",
  "functional": "PBE",
  "state": "relaxed",
  "lattice": [[-2.6820, -3.9351, -0.4118], [-2.6037, -1.5167, 3.7105], [-4.7651, 0.3571, -0.1190]],
  "species": ["Al", "Cs", "Re"],
  "fractional_positions": [[0.2500, 0.2500, 0.2500], [0.7500, 0.7500, 0.7500], [0.0000, 0.0000, 0.0000]],
  "spacegroup": "F-43m (216)",
  "polymorph_energy_ev_per_atom": 0.0000,
  "m_tot_mub_per_cell": 1.00
}

***

# 2
{
  "formula": "Hf2Zr4Co3N3",
  "functional": "PBE",
  "state": "relaxed",
  "lattice": [[-0.5482, 1.1397, 5.3808], [-3.7878, -2.6548, 3.0259], [10.2657, -8.8179, 0.0856]],
  "species": ["Co", "Co", "Co", "Co", "Co", "Co", "Hf", "Hf", "Hf", "Hf", "N", "N", "N", "N", "N", "N", "Zr", "Zr", "Zr", "Zr", "Zr", "Zr", "Zr", "Zr"],
  "fractional_positions": [[0.8556, 0.5849, 0.2496], [0.9659, 0.0341, 0.2500], [0.4151, 0.1444, 0.2504], [0.5849, 0.8556, 0.7496], [0.0341, 0.9659, 0.7500], [0.1444, 0.4151, 0.7504], [0.3743, 0.5377, 0.1158], [0.4623, 0.6257, 0.3842], [0.5377, 0.3743, 0.6158], [0.6257, 0.4623, 0.8842], [0.6561, 0.1882, 0.0000], [0.0000, 0.5000, 0.0000], [0.3439, 0.8118, 0.0000], [0.1882, 0.6561, 0.5000], [0.5000, 0.0000, 0.5000], [0.8118, 0.3439, 0.5000], [0.0301, 0.2003, 0.0967], [0.6978, 0.8645, 0.0968], [0.1355, 0.3022, 0.4032], [0.7997, 0.9699, 0.4033], [0.2003, 0.0301, 0.5967], [0.8645, 0.6978, 0.5968], [0.3022, 0.1355, 0.9032], [0.9699, 0.7997, 0.9033]],
  "spacegroup": "C2/c (15)",
  "dft_energy_ry_per_atom": -0.6751,
  "m_tot_mub_per_cell": 0.02
}